First-principles (PBE) data for Cs3Sn3Pb8 after structural relaxation, as listed in Alexandria via LeMat-Bulk.

abc: 10.2943 10.2943 10.2943
angles: 150.54 96.85 90.57
Positions (direct):
Cs 0.0000 0.0000 0.0000
Cs 0.2779 0.2779 0.0000
Cs 0.7221 0.7221 0.0000
Sn 0.3473 0.5000 0.8473
Sn 0.5000 0.0000 0.5000
Sn 0.6527 0.5000 0.1527
Pb 0.0369 0.3786 0.6583
Pb 0.1429 0.8495 0.2934
Pb 0.2797 0.6214 0.6583
Pb 0.4439 0.1505 0.2934
Pb 0.5561 0.8495 0.7066
Pb 0.7203 0.3786 0.3417
Pb 0.8571 0.1505 0.7066
Pb 0.9631 0.6214 0.3417

Results
Its total energy is -3.25 eV/atom. As for the energy above the lowest structure with this stoichiometry: 6 meV/atom. The calculation puts the energy of formation at -0.09 eV/atom.


First-principles (PBE) data for CsSn4Pb after structural relaxation, as listed in Alexandria via LeMat-Bulk.

abc: 6.5004 6.5004 6.5004
angles: 60.00 60.00 60.00
Positions (direct):
Cs 0.0000 0.0000 0.0000
Sn 0.3751 0.3751 0.3751
Sn 0.3751 0.3751 0.8748
Sn 0.3751 0.8748 0.3751
Sn 0.8748 0.3751 0.3751
Pb 0.7500 0.7500 0.7500

Results
Its total energy is -3.39 eV/atom. The calculation puts the energy of formation at 0.03 eV/atom.


First-principles (PBE) data for Cs5Sn4Pb2 after structural relaxation, as listed in Alexandria via LeMat-Bulk.

abc: 8.0028 8.0028 11.1823
angles: 116.16 116.16 53.32
Positions (direct):
Cs 0.0000 0.0000 0.0000
Cs 0.1868 0.6842 0.6416
Cs 0.3158 0.8132 0.3584
Cs 0.6842 0.1868 0.6416
Cs 0.8132 0.3158 0.3584
Sn 0.2799 0.2799 0.0311
Sn 0.2951 0.2951 0.2932
Sn 0.7049 0.7049 0.7068
Sn 0.7201 0.7201 0.9689
Pb 0.2237 0.2237 0.7436
Pb 0.7763 0.7763 0.2564

Results
Its total energy is -2.50 eV/atom. The calculation puts the energy of formation at 0.02 eV/atom.


First-principles (PBE) data for Cs2Sn2Pb3 after structural relaxation, as listed in Alexandria via LeMat-Bulk.

abc: 7.8873 7.8873 9.5013
angles: 118.03 118.03 33.83
Positions (direct):
Cs 0.1214 0.1214 0.2622
Cs 0.8786 0.8786 0.7378
Sn 0.1588 0.1588 0.7143
Sn 0.8412 0.8412 0.2857
Pb 0.3549 0.3549 0.0719
Pb 0.5000 0.5000 0.5000
Pb 0.6451 0.6451 0.9281

Results
Its total energy is -3.11 eV/atom. The calculation puts the energy of formation at -0.13 eV/atom.


First-principles (PBE) data for CsSn2Pb after structural relaxation, as listed in Alexandria via LeMat-Bulk.

abc: 4.2059 4.2059 8.3947
angles: 90.00 90.00 90.00
Positions (direct):
Cs 0.0000 0.0000 0.0000
Sn 0.5000 0.5000 0.3256
Sn 0.5000 0.5000 0.6744
Pb 0.0000 0.0000 0.5000

Results
Its total energy is -3.26 eV/atom. The calculation puts the energy of formation at -0.12 eV/atom.


First-principles (PBE) data for Cs2SnPb2 after structural relaxation, as listed in Alexandria via LeMat-Bulk.

abc: 7.5961 7.5961 9.2636
angles: 90.00 90.00 71.72
Positions (direct):
Cs 0.2007 0.2007 0.0000
Cs 0.2007 0.2007 0.5000
Cs 0.7993 0.7993 0.0000
Cs 0.7993 0.7993 0.5000
Sn 0.3429 0.6571 0.7500
Sn 0.6571 0.3429 0.2500
Pb 0.3392 0.6608 0.0827
Pb 0.3392 0.6608 0.4173
Pb 0.6608 0.3392 0.5827
Pb 0.6608 0.3392 0.9173

Results
Its total energy is -2.72 eV/atom. As for the energy above the lowest structure with this stoichiometry: 67 meV/atom. The calculation puts the energy of formation at -0.09 eV/atom.


First-principles (PBE) data for CsSnPb after structural relaxation, as listed in Alexandria via LeMat-Bulk.

abc: 4.8974 4.8974 6.4870
angles: 90.00 90.00 120.00
Positions (direct):
Cs 0.0000 0.0000 0.0000
Sn 0.3333 0.6667 0.4185
Pb 0.6667 0.3333 0.5737

Results
Its total energy is -2.99 eV/atom. As for the energy above the lowest structure with this stoichiometry: 83 meV/atom. The calculation puts the energy of formation at -0.14 eV/atom.


First-principles (PBE) data for CsSn2Pb8 after structural relaxation, as listed in Alexandria via LeMat-Bulk.

abc: 7.3964 7.3964 9.5060
angles: 90.00 90.00 90.00
Positions (direct):
Cs 0.0000 0.0000 0.0000
Sn 0.0000 0.5000 0.5000
Sn 0.5000 0.0000 0.5000
Pb 0.2557 0.2557 0.3234
Pb 0.2557 0.2557 0.6766
Pb 0.2557 0.7443 0.3234
Pb 0.2557 0.7443 0.6766
Pb 0.7443 0.2557 0.3234
Pb 0.7443 0.2557 0.6766
Pb 0.7443 0.7443 0.3234
Pb 0.7443 0.7443 0.6766

Results
Its total energy is -3.33 eV/atom. The calculation puts the energy of formation at 0.17 eV/atom.


First-principles (PBE) data for Cs2Sn5Pb after structural relaxation, as listed in Alexandria via LeMat-Bulk.

abc: 8.5590 8.5590 8.5590
angles: 133.09 133.09 68.51
Positions (direct):
Cs 0.0000 0.5000 0.5000
Cs 0.5000 0.0000 0.5000
Sn 0.3605 0.3605 0.0000
Sn 0.5354 0.5354 0.5643
Sn 0.5354 0.9710 0.0000
Sn 0.9710 0.5354 0.0000
Sn 0.9710 0.9710 0.4357
Pb 0.1361 0.1361 0.0000

Results
Its total energy is -3.30 eV/atom. The calculation puts the energy of formation at -0.12 eV/atom.


First-principles (PBE) data for CsSn2Pb after structural relaxation, as listed in Alexandria via LeMat-Bulk.

abc: 6.9961 6.9961 7.6268
angles: 90.00 90.00 128.24
Positions (direct):
Cs 0.0901 0.9099 0.7500
Cs 0.9099 0.0901 0.2500
Sn 0.3855 0.6145 0.5560
Sn 0.3855 0.6145 0.9440
Sn 0.6145 0.3855 0.0560
Sn 0.6145 0.3855 0.4440
Pb 0.2051 0.7949 0.2500
Pb 0.7949 0.2051 0.7500

Results
Its total energy is -3.22 eV/atom. The calculation puts the energy of formation at -0.08 eV/atom.


First-principles (PBE) data for CsSnPb after structural relaxation, as listed in Alexandria via LeMat-Bulk.

abc: 9.1166 5.1482 10.4095
angles: 90.00 90.00 90.00
Positions (direct):
Cs 0.0034 0.2500 0.1755
Cs 0.4966 0.7500 0.6755
Cs 0.5034 0.2500 0.3245
Cs 0.9966 0.7500 0.8245
Sn 0.1900 0.7500 0.4094
Sn 0.3100 0.2500 0.9094
Sn 0.6900 0.7500 0.0906
Sn 0.8100 0.2500 0.5906
Pb 0.1475 0.2500 0.5770
Pb 0.3525 0.7500 0.0770
Pb 0.6475 0.2500 0.9230
Pb 0.8525 0.7500 0.4230

Results
Its total energy is -3.02 eV/atom. As for the energy above the lowest structure with this stoichiometry: 61 meV/atom. The calculation puts the energy of formation at -0.16 eV/atom.


First-principles (PBE) data for Cs2Sn3Pb5 after structural relaxation, as listed in Alexandria via LeMat-Bulk.

abc: 5.2898 5.2898 13.6889
angles: 90.00 90.00 90.00
Positions (direct):
Cs 0.0000 0.5000 0.2445
Cs 0.5000 0.0000 0.7555
Sn 0.0000 0.0000 0.0000
Sn 0.0000 0.5000 0.8781
Sn 0.5000 0.0000 0.1219
Pb 0.0000 0.0000 0.5000
Pb 0.0000 0.5000 0.6378
Pb 0.5000 0.0000 0.3622
Pb 0.5000 0.5000 0.0000
Pb 0.5000 0.5000 0.5000

Results
Its total energy is -3.36 eV/atom. The calculation puts the energy of formation at -0.14 eV/atom.